# PBE CaNd2SmTe4, optimized geometry
# DOS at the Fermi energy: 0.472 states/eV/atom
# Energy relative to the elements, uncorrected: -1.46 eV per atom
data_CaNd2SmTe4
_space_group_name_H-M_alt 'P 1'
_space_group_IT_number 1
_cell_length_a 4.446
_cell_length_b 7.797
_cell_length_c 7.771
_cell_angle_alpha 71.05
_cell_angle_beta 90.00
_cell_angle_gamma 90.00
loop_
_space_group_symop_operation_xyz
'x,y,z'
loop_
_atom_site_label
_atom_site_type_symbol
_atom_site_fract_x
_atom_site_fract_y
_atom_site_fract_z
Sm1 Sm 0.000 0.500 0.500
Te1 Te 0.500 0.744 0.250
Te2 Te 0.000 0.256 0.247
Te3 Te 0.000 0.744 0.753
Te4 Te 0.500 0.256 0.750
Nd1 Nd 0.000 0.000 0.000
Nd2 Nd 0.500 0.000 0.500
Ca1 Ca 0.500 0.500 0.000